1.
Nd2YTl3S6, optimized geometry, DFT PBE; E_form (uncorrected) = -1465 meV per atom; space-group type = C2/m (12)
1.0
7.1617 -0.0002 0.0006
-3.5793 6.2031 0.0006
-1.1943 -2.0678 7.5036
Y Tl Nd S
1 3 2 6
Direct
0.0000 0.0000 0.0000
0.1674 0.8326 0.5000
0.5000 0.5000 0.5000
0.8326 0.1674 0.5000
0.3333 0.6667 0.0000
0.6667 0.3333 0.0000
0.2573 0.2573 0.7965
0.9327 0.6078 0.7984
0.7427 0.7427 0.2035
0.6078 0.9327 0.7984
0.3922 0.0673 0.2016
0.0673 0.3922 0.2016



2.
Tl3Bi3SbSe8, optimized geometry, DFT PBE; E_form (uncorrected) = -379 meV per atom; space-group type = R-3m (166)
1.0
-0.1958 2.4888 8.0652
6.9467 -3.6350 -3.1296
-1.8393 8.6022 -2.6987
Bi Se Sb Tl
3 8 1 3
Direct
0.0000 0.5000 0.5000
0.5000 0.5000 0.5000
0.5000 0.0000 0.5000
0.2294 0.4589 0.7085
0.2609 0.5219 0.2827
0.2294 0.9790 0.7085
0.7495 0.9790 0.7085
0.7391 0.4781 0.7173
0.2505 0.0210 0.2915
0.7706 0.0210 0.2915
0.7706 0.5411 0.2915
0.0000 0.0000 0.5000
0.0000 0.5000 0.0000
0.5000 0.5000 0.0000
0.0000 0.0000 0.0000



3.
ZnCrNiMo2, optimized geometry, DFT PBE; energy of formation = 5.78 eV per formula unit; space-group type = P4/mmm (123)
1.0
-2.2497 -0.7112 -3.7647
2.4084 -3.5078 -0.7765
-2.9255 -2.5002 2.2205
Mo Ni Cr Zn
2 1 1 1
Direct
0.0000 0.0000 0.5000
0.5000 0.0000 0.0000
0.0000 0.5000 0.0000
0.0000 0.0000 0.0000
0.5000 0.5000 0.5000



4.
NbPdAu, optimized geometry, DFT PBE; energy of formation = -0.50 eV per formula unit; space-group type = Cmcm (63); distance to the lowest polymorph of the same formula = 0.142 eV/atom
1.0
4.8514 0.0000 0.0000
0.0000 4.8172 0.0000
0.0000 0.0000 8.7592
Au Pd Nb
4 4 4
Direct
0.7500 0.4999 0.2465
0.7500 0.0001 0.7465
0.2500 0.5001 0.7535
0.2500 0.9999 0.2535
0.2500 0.4999 0.4219
0.7500 0.9999 0.0781
0.7500 0.5001 0.5781
0.2500 0.0001 0.9219
0.7500 0.5001 0.9100
0.2500 0.4999 0.0900
0.7500 0.9999 0.4100
0.2500 0.0001 0.5900



5.
TlReSeBr2, optimized geometry, DFT PBE; E_form (uncorrected) = 1223 meV per atom; space-group type = P4/mmm (123); distance to the lowest polymorph of the same formula = 1.158 eV/atom
1.0
5.3876 0.0000 0.0000
0.0000 6.0394 0.0000
0.0000 0.0000 5.3876
Br Se Re Tl
2 1 1 1
Direct
0.5000 0.0000 0.0000
0.0000 0.0000 0.5000
0.0000 0.0000 0.0000
0.5000 0.5000 0.5000
0.0000 0.5000 0.0000



6.
Tb4TlSiSe2, optimized geometry, DFT PBE; E_form (uncorrected) = -1133 meV per atom; space-group type = I-4m2 (119)
1.0
-5.6407 1.4166 1.1567
-0.9707 -5.4977 1.9988
4.8581 3.7554 3.8923
Se Tb Si Tl
2 4 1 1
Direct
0.0000 0.0000 0.0000
0.2500 0.7500 0.5000
0.2412 0.2412 0.4823
0.5035 0.0035 0.0070
0.9965 0.4965 0.9930
0.7588 0.7588 0.5177
0.7500 0.2500 0.5000
0.5000 0.5000 0.0000



7.
SrNiAs2Ir, optimized geometry, DFT PBE; energy of formation = -2.96 eV per formula unit; space-group type = I-4m2 (119)
1.0
-0.9079 -0.8994 3.9106
2.0397 -3.5563 -0.3444
4.3518 4.8787 -0.0317
Sr As Ir Ni
1 2 1 1
Direct
0.0000 0.0000 0.0000
0.3616 0.3616 0.7233
0.6384 0.6384 0.2767
0.7500 0.2500 0.5000
0.2500 0.7500 0.5000



8.
AcY3Ir, optimized geometry, DFT PBE; energy of formation = -1.65 eV per formula unit; space-group type = Pm-3m (221)
1.0
5.5186 0.0000 0.0000
0.0000 5.5186 0.0000
0.0000 0.0000 5.5186
Y Ac Ir
3 1 1
Direct
0.0000 0.0000 0.5000
0.0000 0.5000 0.0000
0.5000 0.0000 0.0000
0.5000 0.5000 0.5000
0.0000 0.0000 0.0000



no.,calculated total energy (eV/atom)
1,-5.4534
2,-3.7618
3,-6.5131
4,-6.3455
5,-3.1060
6,-5.2930
7,-5.7157
8,-6.8026